Record 1
Below is a relaxed structure of CaIn2Ag2, with properties calculated at the PBE level.

a = 8.298 Å, b = 8.298 Å, c = 3.405 Å
α = 90.00°, β = 90.00°, γ = 90.00°
Sites, in units of the cell vectors:
Ca 0.000 0.000 0.000
Ca 0.500 0.500 0.000
In 0.171 0.329 0.500
In 0.329 0.829 0.500
In 0.671 0.171 0.500
In 0.829 0.671 0.500
Ag 0.124 0.624 0.000
Ag 0.376 0.124 0.000
Ag 0.624 0.876 0.000
Ag 0.876 0.376 0.000

Computed properties:
Total DFT energy (no corrections)   -2.7881 eV/atom
Calculated volume   23.448 A^3/atom
Relative energy among the computed polymorphs   0.080 eV per atom

Record 2
Below is a relaxed structure of Ga2SnBi2, with properties calculated at the PBE level.

a = 8.042 Å, b = 8.042 Å, c = 4.064 Å
α = 90.00°, β = 90.00°, γ = 90.00°
Sites, in units of the cell vectors:
Ga 0.120 0.380 0.000
Ga 0.380 0.880 0.000
Ga 0.620 0.120 0.000
Ga 0.880 0.620 0.000
Sn 0.000 0.000 0.000
Sn 0.500 0.500 0.000
Bi 0.181 0.681 0.500
Bi 0.319 0.181 0.500
Bi 0.681 0.819 0.500
Bi 0.819 0.319 0.500

Computed properties:
Total DFT energy (no corrections)   -3.4492 eV/atom
Calculated volume   26.286 A^3/atom
Relative energy among the computed polymorphs   0.016 eV per atom

Record 3
Below is a relaxed structure of LiTb2DyAu4, with properties calculated at the PBE level.

a = 8.685 Å, b = 8.685 Å, c = 8.685 Å
α = 33.51°, β = 33.51°, γ = 33.51°
Sites, in units of the cell vectors:
Li 0.000 0.000 0.000
Tb 0.256 0.256 0.256
Tb 0.744 0.744 0.744
Dy 0.500 0.500 0.500
Au 0.129 0.129 0.129
Au 0.378 0.378 0.378
Au 0.622 0.622 0.622
Au 0.871 0.871 0.871

Computed properties:
Total DFT energy (no corrections)   -4.3917 eV/atom
Calculated volume   22.237 A^3/atom

Record 4
Below is a relaxed structure of LaTbIr, with properties calculated at the PBE level.

a = 7.277 Å, b = 7.277 Å, c = 7.182 Å
α = 114.77°, β = 114.77°, γ = 30.89°
Sites, in units of the cell vectors:
La 0.000 0.000 0.000
La 0.737 0.737 0.005
Tb 0.443 0.443 0.527
Tb 0.705 0.705 0.513
Ir 0.104 0.104 0.697
Ir 0.339 0.339 0.801

Computed properties:
Total DFT energy (no corrections)   -6.7295 eV/atom
Calculated volume   29.308 A^3/atom
Relative energy among the computed polymorphs   0.056 eV per atom